Entry 1:
# Mg2Sc2CdInAg2 (PBE-GGA, relaxed)
data_Mg2Sc2CdInAg2
_space_group_name_H-M_alt 'P -4 m 2'
_space_group_IT_number 115
_space_group_name_Hall 'P -4 -2'
_cell_length_a 4.881
_cell_length_b 4.881
_cell_length_c 6.851
_cell_angle_alpha 90.00
_cell_angle_beta 90.00
_cell_angle_gamma 90.00
loop_
_atom_site_label
_atom_site_type_symbol
_atom_site_fract_x
_atom_site_fract_y
_atom_site_fract_z
Mg1 Mg 0.000 0.500 0.244
Sc1 Sc 0.000 0.500 0.752
Cd1 Cd 0.500 0.500 0.000
In1 In 0.000 0.000 0.500
Ag1 Ag 0.000 0.000 0.000
Ag2 Ag 0.500 0.500 0.500
# total DFT energy (no corrections)	-3.433	eV/atom


Entry 2:
# Na2Cd2In2AgPd (PBE-GGA, relaxed)
data_Na2Cd2In2AgPd
_space_group_name_H-M_alt 'P -4 m 2'
_space_group_IT_number 115
_space_group_name_Hall 'P -4 -2'
_cell_length_a 4.880
_cell_length_b 4.880
_cell_length_c 6.910
_cell_angle_alpha 90.00
_cell_angle_beta 90.00
_cell_angle_gamma 90.00
loop_
_atom_site_label
_atom_site_type_symbol
_atom_site_fract_x
_atom_site_fract_y
_atom_site_fract_z
Na1 Na 0.000 0.000 0.000
Na2 Na 0.500 0.500 0.500
Cd1 Cd 0.000 0.500 0.743
In1 In 0.000 0.500 0.260
Ag1 Ag 0.500 0.500 0.000
Pd1 Pd 0.000 0.000 0.500
# total DFT energy (no corrections)	-2.398	eV/atom